1.
The following is a DFT calculation (PBE) of InHg4Pb2 after structural relaxation.

Energy of formation from the pure elements, eV/atom: 0.0657
Relative energy among the computed polymorphs, eV per atom: 0.025
Mass density, g/cm3: 10.75

The structure in CIF format:
```
data_InHg4Pb2
_chemical_formula_sum 'In4 Hg16 Pb8'
_cell_length_a 7.174
_cell_length_b 10.688
_cell_length_c 10.729
_cell_angle_alpha 90.00
_cell_angle_beta 90.00
_cell_angle_gamma 90.00
_symmetry_space_group_name_H-M 'F m m m'
_symmetry_Int_Tables_number 69
_symmetry_space_group_name_Hall '-F 2 2'
loop_
_atom_site_label
_atom_site_fract_x
_atom_site_fract_y
_atom_site_fract_z
_atom_site_occupancy
In1 0.000 0.000 0.000 1
Hg1 0.000 0.000 0.293 1
Hg2 0.000 0.206 0.500 1
Pb1 0.250 0.250 0.250 1
```

***

2.
The following is a DFT calculation (PBE) of InHg2Pb after structural relaxation.

Energy of formation from the pure elements, eV/atom: 0.0918
Mass density, g/cm3: 10.78

The structure in CIF format:
```
data_InHg2Pb
_chemical_formula_sum 'In4 Hg8 Pb4'
_cell_length_a 7.639
_cell_length_b 7.639
_cell_length_c 7.639
_cell_angle_alpha 90.00
_cell_angle_beta 90.00
_cell_angle_gamma 90.00
_symmetry_space_group_name_H-M 'F -4 3 m'
_symmetry_Int_Tables_number 216
_symmetry_space_group_name_Hall 'F -4 2 3'
loop_
_atom_site_label
_atom_site_fract_x
_atom_site_fract_y
_atom_site_fract_z
_atom_site_occupancy
In1 0.000 0.000 0.000 1
Hg1 0.000 0.000 0.500 1
Hg2 0.250 0.250 0.750 1
Pb1 0.250 0.250 0.250 1
```

***

3.
The following is a DFT calculation (PBE) of In3Hg16Pb4 after structural relaxation.

Energy of formation from the pure elements, eV/atom: 0.0293
Mass density, g/cm3: 11.21

The structure in CIF format:
```
data_In3Hg16Pb4
_chemical_formula_sum 'In3 Hg16 Pb4'
_cell_length_a 8.002
_cell_length_b 8.002
_cell_length_c 10.137
_cell_angle_alpha 90.00
_cell_angle_beta 90.00
_cell_angle_gamma 90.00
_symmetry_space_group_name_H-M 'P 4/m m m'
_symmetry_Int_Tables_number 123
_symmetry_space_group_name_Hall '-P 4 2'
loop_
_atom_site_label
_atom_site_fract_x
_atom_site_fract_y
_atom_site_fract_z
_atom_site_occupancy
In1 0.000 0.000 0.000 1
In2 0.000 0.500 0.500 1
Hg1 0.000 0.000 0.306 1
Hg2 0.267 0.267 0.347 1
Hg3 0.268 0.268 0.000 1
Hg4 0.500 0.500 0.183 1
Pb1 0.000 0.500 0.170 1
```

***

4.
The following is a DFT calculation (PBE) of In2Hg3Pb after structural relaxation.

Energy of formation from the pure elements, eV/atom: 0.0198
Relative energy among the computed polymorphs, eV per atom: 0.005
Mass density, g/cm3: 10.64

The structure in CIF format:
```
data_In2Hg3Pb
_chemical_formula_sum 'In4 Hg6 Pb2'
_cell_length_a 4.773
_cell_length_b 10.134
_cell_length_c 6.700
_cell_angle_alpha 90.00
_cell_angle_beta 90.00
_cell_angle_gamma 90.00
_symmetry_space_group_name_H-M 'P m c 21'
_symmetry_Int_Tables_number 26
_symmetry_space_group_name_Hall 'P 2c -2'
loop_
_atom_site_label
_atom_site_fract_x
_atom_site_fract_y
_atom_site_fract_z
_atom_site_occupancy
In1 0.000 0.001 0.000 1
In2 0.500 0.190 0.749 1
Hg1 0.000 0.323 0.504 1
Hg2 0.000 0.325 0.990 1
Hg3 0.500 0.134 0.250 1
Pb1 0.500 0.461 0.248 1
```

***

5.
The following is a DFT calculation (PBE) of In2HgPb after structural relaxation.

Energy of formation from the pure elements, eV/atom: 0.0217
Mass density, g/cm3: 9.35

The structure in CIF format:
```
data_In2HgPb
_chemical_formula_sum 'In4 Hg2 Pb2'
_cell_length_a 3.563
_cell_length_b 5.679
_cell_length_c 11.192
_cell_angle_alpha 90.00
_cell_angle_beta 90.00
_cell_angle_gamma 90.00
_symmetry_space_group_name_H-M 'C m m m'
_symmetry_Int_Tables_number 65
_symmetry_space_group_name_Hall '-C 2 2'
loop_
_atom_site_label
_atom_site_fract_x
_atom_site_fract_y
_atom_site_fract_z
_atom_site_occupancy
In1 0.000 0.000 0.240 1
Hg1 0.000 0.500 0.000 1
Pb1 0.000 0.500 0.500 1
```

***

6.
The following is a DFT calculation (PBE) of InHg7Pb4 after structural relaxation.

Energy of formation from the pure elements, eV/atom: 0.0293
Relative energy among the computed polymorphs, eV per atom: 0.000
Mass density, g/cm3: 11.52

The structure in CIF format:
```
data_InHg7Pb4
_chemical_formula_sum 'In1 Hg7 Pb4'
_cell_length_a 3.7042
_cell_length_b 3.7042
_cell_length_c 28.4801
_cell_angle_alpha 90.00
_cell_angle_beta 90.00
_cell_angle_gamma 120.00
_symmetry_space_group_name_H-M 'P -3 m 1'
_symmetry_Int_Tables_number 164
_symmetry_space_group_name_Hall '-P 3 2"'
loop_
_atom_site_label
_atom_site_fract_x
_atom_site_fract_y
_atom_site_fract_z
_atom_site_occupancy
In1 0.0000 0.0000 0.0000 1
Hg1 0.0000 0.0000 0.2508 1
Hg2 0.0000 0.0000 0.5000 1
Hg3 0.3333 0.6667 0.6725 1
Hg4 0.3333 0.6667 0.9215 1
Pb1 0.3333 0.6667 0.1633 1
Pb2 0.3333 0.6667 0.4142 1
```

***

7.
The following is a DFT calculation (PBE) of InHgPb4 after structural relaxation.

Energy of formation from the pure elements, eV/atom: 0.1443
Relative energy among the computed polymorphs, eV per atom: 0.110
Mass density, g/cm3: 9.67

The structure in CIF format:
```
data_InHgPb4
_chemical_formula_sum 'In4 Hg4 Pb16'
_cell_length_a 9.229
_cell_length_b 9.229
_cell_length_c 9.229
_cell_angle_alpha 90.00
_cell_angle_beta 90.00
_cell_angle_gamma 90.00
_symmetry_space_group_name_H-M 'F -4 3 m'
_symmetry_Int_Tables_number 216
_symmetry_space_group_name_Hall 'F -4 2 3'
loop_
_atom_site_label
_atom_site_fract_x
_atom_site_fract_y
_atom_site_fract_z
_atom_site_occupancy
In1 0.000 0.000 0.000 1
Hg1 0.250 0.250 0.250 1
Pb1 0.125 0.125 0.625 1
```

***

8.
The following is a DFT calculation (PBE) of InHg2Pb after structural relaxation.

Energy of formation from the pure elements, eV/atom: 0.0141
Mass density, g/cm3: 10.69

The structure in CIF format:
```
data_InHg2Pb
_chemical_formula_sum 'In1 Hg2 Pb1'
_cell_length_a 3.265
_cell_length_b 5.684
_cell_length_c 6.055
_cell_angle_alpha 90.00
_cell_angle_beta 90.43
_cell_angle_gamma 90.00
_symmetry_space_group_name_H-M 'P 1 m 1'
_symmetry_Int_Tables_number 6
_symmetry_space_group_name_Hall 'P -2y'
loop_
_atom_site_label
_atom_site_fract_x
_atom_site_fract_y
_atom_site_fract_z
_atom_site_occupancy
In1 0.000 0.000 0.000 1
Hg1 0.111 0.000 0.498 1
Hg2 0.792 0.500 0.704 1
Pb1 0.484 0.500 0.202 1
```

***

9.
The following is a DFT calculation (PBE) of In12HgPb4 after structural relaxation.

Energy of formation from the pure elements, eV/atom: 0.0535
Mass density, g/cm3: 8.17

The structure in CIF format:
```
data_In12HgPb4
_chemical_formula_sum 'In12 Hg1 Pb4'
_cell_length_a 6.254
_cell_length_b 9.092
_cell_length_c 9.415
_cell_angle_alpha 75.06
_cell_angle_beta 78.32
_cell_angle_gamma 72.69
_symmetry_space_group_name_H-M 'P -1'
_symmetry_Int_Tables_number 2
_symmetry_space_group_name_Hall '-P 1'
loop_
_atom_site_label
_atom_site_fract_x
_atom_site_fract_y
_atom_site_fract_z
_atom_site_occupancy
In1 0.091 0.353 0.394 1
In2 0.155 0.273 0.737 1
In3 0.232 0.764 0.761 1
In4 0.314 0.847 0.271 1
In5 0.400 0.165 0.083 1
In6 0.403 0.550 0.152 1
Hg1 0.000 0.000 0.500 1
Pb1 0.000 0.000 0.000 1
Pb2 0.000 0.500 0.000 1
Pb3 0.500 0.000 0.500 1
Pb4 0.500 0.500 0.500 1
```

***

10.
The following is a DFT calculation (PBE) of In3Hg2Pb3 after structural relaxation.

Energy of formation from the pure elements, eV/atom: 0.0220
Relative energy among the computed polymorphs, eV per atom: 0.000
Mass density, g/cm3: 9.99

The structure in CIF format:
```
data_In3Hg2Pb3
_chemical_formula_sum 'In6 Hg4 Pb6'
_cell_length_a 4.217
_cell_length_b 5.325
_cell_length_c 20.232
_cell_angle_alpha 90.00
_cell_angle_beta 90.00
_cell_angle_gamma 90.00
_symmetry_space_group_name_H-M 'I m m m'
_symmetry_Int_Tables_number 71
_symmetry_space_group_name_Hall '-I 2 2'
loop_
_atom_site_label
_atom_site_fract_x
_atom_site_fract_y
_atom_site_fract_z
_atom_site_occupancy
In1 0.000 0.000 0.000 1
In2 0.000 0.500 0.132 1
Hg1 0.000 0.000 0.252 1
Pb1 0.000 0.000 0.500 1
Pb2 0.000 0.500 0.373 1
```

***

11.
The following is a DFT calculation (PBE) of In6Hg23Pb after structural relaxation.

Energy of formation from the pure elements, eV/atom: 0.0212
Mass density, g/cm3: 11.20

The structure in CIF format:
```
data_In6Hg23Pb
_chemical_formula_sum 'In24 Hg92 Pb4'
_cell_length_a 14.841
_cell_length_b 14.841
_cell_length_c 14.841
_cell_angle_alpha 90.00
_cell_angle_beta 90.00
_cell_angle_gamma 90.00
_symmetry_space_group_name_H-M 'F m -3 m'
_symmetry_Int_Tables_number 225
_symmetry_space_group_name_Hall '-F 4 2 3'
loop_
_atom_site_label
_atom_site_fract_x
_atom_site_fract_y
_atom_site_fract_z
_atom_site_occupancy
In1 0.000 0.000 0.241 1
Hg1 0.000 0.000 0.000 1
Hg2 0.000 0.250 0.250 1
Hg3 0.129 0.129 0.371 1
Hg4 0.133 0.133 0.133 1
Pb1 0.000 0.000 0.500 1
```

***

12.
The following is a DFT calculation (PBE) of InHg2Pb6 after structural relaxation.

Energy of formation from the pure elements, eV/atom: 0.0163
Relative energy among the computed polymorphs, eV per atom: 0.000
Mass density, g/cm3: 10.95

The structure in CIF format:
```
data_InHg2Pb6
_chemical_formula_sum 'In2 Hg4 Pb12'
_cell_length_a 14.028
_cell_length_b 3.581
_cell_length_c 10.980
_cell_angle_alpha 90.00
_cell_angle_beta 104.77
_cell_angle_gamma 90.00
_symmetry_space_group_name_H-M 'C 1 2/m 1'
_symmetry_Int_Tables_number 12
_symmetry_space_group_name_Hall '-C 2y'
loop_
_atom_site_label
_atom_site_fract_x
_atom_site_fract_y
_atom_site_fract_z
_atom_site_occupancy
In1 0.000 0.000 0.000 1
Hg1 0.159 0.500 0.206 1
Pb1 0.014 0.000 0.341 1
Pb2 0.164 0.500 0.888 1
Pb3 0.177 0.500 0.576 1
```

***

Taking the records one at a time from the top gives calculated total energy values of -10.90, -6.68, -27.20, -9.97, -9.40, -19.33, -17.01, -6.99, -47.09, -19.77, -26.44, -25.45 eV/f.u..